Compound: Ba3LiSb2S6
Source: Alexandria
Functional: GGA-PBE
Structure: optimized geometry

DOS at the Fermi energy	0.41	states/eV/atom
electronic total energy	-54.9	eV/cell

a b c (Å): 7.1979 7.1979 7.8361
angles (deg): 90.00 90.00 120.00
Sites, in units of the cell vectors:
S 0.6636 0.8318 0.2999
S 0.8318 0.6636 0.7001
S 0.1682 0.8318 0.2999
S 0.8318 0.1682 0.7001
S 0.1682 0.3364 0.2999
S 0.3364 0.1682 0.7001
Sb 0.3333 0.6667 0.1266
Sb 0.6667 0.3333 0.8734
Li 0.0000 0.0000 0.5000
Ba 0.0000 0.0000 0.0000
Ba 0.6667 0.3333 0.3793
Ba 0.3333 0.6667 0.6207

Compound: Ba2LiSb2S6
Source: Alexandria
Functional: GGA-PBE
Structure: optimized geometry

DOS at the Fermi energy	0.16	states/eV/atom
electronic total energy	-49.0	eV/cell

a b c (Å): 7.1249 7.6033 8.0832
angles (deg): 115.25 90.00 117.94
Sites, in units of the cell vectors:
S 0.7820 0.5640 0.6279
S 0.1967 0.8362 0.2165
S 0.3604 0.1638 0.7835
S 0.8033 0.1638 0.7835
S 0.2180 0.4360 0.3721
S 0.6396 0.8362 0.2165
Ba 0.7213 0.4426 0.1956
Ba 0.2787 0.5574 0.8044
Sb 0.0153 0.0306 0.1927
Sb 0.9847 0.9694 0.8073
Li 0.5000 0.0000 0.5000

Compound: Ba3Li2SbS6
Source: Alexandria
Functional: GGA-PBE
Structure: optimized geometry

DOS at the Fermi energy	0.25	states/eV/atom
electronic total energy	-53.3	eV/cell

a b c (Å): 7.3055 7.3055 7.8401
angles (deg): 90.00 90.00 120.00
Sites, in units of the cell vectors:
Sb 0.0000 0.0000 0.5000
S 0.1660 0.3320 0.3010
S 0.6680 0.8340 0.3010
S 0.1660 0.8340 0.3010
S 0.3320 0.1660 0.6990
S 0.8340 0.1660 0.6990
S 0.8340 0.6680 0.6990
Li 0.6667 0.3333 0.8127
Li 0.3333 0.6667 0.1873
Ba 0.3333 0.6667 0.6096
Ba 0.6667 0.3333 0.3904
Ba 0.0000 0.0000 0.0000

Compound: BaLiSe2S
Source: Alexandria
Functional: GGA-PBE
Structure: optimized geometry

DOS at the Fermi energy	1.62	states/eV/atom
electronic total energy	-13.3	eV/cell

a b c (Å): 5.8995 13.6642 5.8995
angles (deg): 90.00 90.00 90.00
Last column: magnetic moment on the atom in μB.
Sites, in units of the cell vectors:
S 0.5000 0.5000 0.5000  0.61
Li 0.0000 0.5000 0.0000  0.00
Ba 0.0000 0.0000 0.0000  -0.01
Se 0.5000 0.0000 0.0000  0.11
Se 0.0000 0.0000 0.5000  0.12

Compound: BaLiSm2S4
Source: Alexandria
Functional: GGA-PBE
Structure: optimized geometry

DOS at the Fermi energy	0.22	states/eV/atom
electronic total energy	-90.8	eV/cell

a b c (Å): 4.1023 7.1102 13.9478
angles (deg): 90.00 90.00 106.77
Sites, in units of the cell vectors:
S 0.2659 0.5318 0.3840
S 0.0000 0.0000 0.0000
S 0.7341 0.4682 0.8840
S 0.7341 0.4682 0.6160
S 0.2659 0.5318 0.1160
S 0.5652 0.1304 0.2500
S 0.4348 0.8696 0.7500
S 0.0000 0.0000 0.5000
Sm 0.3716 0.7432 0.5550
Sm 0.6284 0.2568 0.0550
Sm 0.3716 0.7432 0.9450
Sm 0.6284 0.2568 0.4450
Li 0.8428 0.6856 0.7500
Li 0.1572 0.3144 0.2500
Ba 0.1138 0.2277 0.7500
Ba 0.8862 0.7723 0.2500

Compound: Ba2Li2SmS4
Source: Alexandria
Functional: GGA-PBE
Structure: optimized geometry

DOS at the Fermi energy	0.44	states/eV/atom
electronic total energy	-44.4	eV/cell

a b c (Å): 4.1029 7.3934 7.8094
angles (deg): 109.35 105.23 90.00
Sites, in units of the cell vectors:
Ba 0.8668 0.4423 0.7337
Ba 0.1332 0.5577 0.2663
Li 0.3190 0.0055 0.6380
Li 0.6810 0.9945 0.3620
S 0.5216 0.7532 0.0432
S 0.4784 0.2468 0.9568
S 0.7957 0.8106 0.5913
S 0.2043 0.1894 0.4087
Sm 0.0000 0.0000 0.0000